! Ca2LaAlSe PBE-GGA optimized geometry; values from VASP
&SYSTEM
  ibrav = 0, nat = 5, ntyp = 4
/
ATOMIC_SPECIES
Ca 40.08 Ca.upf
Al 26.98 Al.upf
Se 78.96 Se.upf
La 138.91 La.upf
CELL_PARAMETERS angstrom
5.770 0.000 0.000
0.000 5.257 0.000
0.000 0.000 5.770
ATOMIC_POSITIONS angstrom
Ca 0.000 0.000 2.885
Ca 2.885 0.000 0.000
Al 0.000 0.000 0.000
Se 0.000 2.629 0.000
La 2.885 2.629 2.885
! - Total energy: -3.0899 eV/atom
! - Space group: No. 123
! - ρ: 3.1 Mg/m³
! - Uncorrected formation energy: 0.14 eV/atom


! CaLaAl2Si2 PBE-GGA optimized geometry; values from VASP
&SYSTEM
  ibrav = 0, nat = 6, ntyp = 4
/
ATOMIC_SPECIES
Ca 40.08 Ca.upf
La 138.91 La.upf
Al 26.98 Al.upf
Si 28.09 Si.upf
CELL_PARAMETERS angstrom
4.215 0.000 0.000
-2.107 3.650 0.000
0.000 0.000 8.857
ATOMIC_POSITIONS angstrom
Ca 0.000 0.000 4.429
La 0.000 0.000 0.000
Al 0.000 2.433 6.668
Al 2.107 1.217 2.189
Si 0.000 2.433 2.324
Si 2.107 1.217 6.533
! - Total energy: -4.7096 eV/atom
! - Space group: No. 164
! - ρ: 3.5 Mg/m³
! - Uncorrected formation energy: -0.50 eV/atom


! CaLaTbAl PBE-GGA optimized geometry; values from VASP
&SYSTEM
  ibrav = 0, nat = 4, ntyp = 4
/
ATOMIC_SPECIES
Ca 40.08 Ca.upf
Tb 158.93 Tb.upf
Al 26.98 Al.upf
La 138.91 La.upf
CELL_PARAMETERS angstrom
5.509 0.000 0.000
2.754 4.771 0.000
2.754 1.590 4.498
ATOMIC_POSITIONS angstrom
Ca 8.263 4.771 3.373
Tb 0.000 0.000 0.000
Al 2.754 1.590 1.124
La 5.509 3.180 2.249
! - Total energy: -3.9005 eV/atom
! - Space group: No. 216
! - ρ: 5.1 Mg/m³


Q: Which formula does entry 3 have?
A: CaLaTbAl


Q: What is the ρ in the second record?
A: 3.5 Mg/m³


Q: The highest total energy belongs to which entry?
A: Ca2LaAlSe


Copy entry 3 word for word.
! CaLaTbAl PBE-GGA optimized geometry; values from VASP
&SYSTEM
  ibrav = 0, nat = 4, ntyp = 4
/
ATOMIC_SPECIES
Ca 40.08 Ca.upf
Tb 158.93 Tb.upf
Al 26.98 Al.upf
La 138.91 La.upf
CELL_PARAMETERS angstrom
5.509 0.000 0.000
2.754 4.771 0.000
2.754 1.590 4.498
ATOMIC_POSITIONS angstrom
Ca 8.263 4.771 3.373
Tb 0.000 0.000 0.000
Al 2.754 1.590 1.124
La 5.509 3.180 2.249
! - Total energy: -3.9005 eV/atom
! - Space group: No. 216
! - ρ: 5.1 Mg/m³